Record 1
A plane-wave DFT calculation with PBE-GGA was carried out for Er2HgRh after structural relaxation.

Cell: 8.0095 8.0095 8.0095 Å, 28.16 28.16 28.16°
Closest atoms and distances in Å follow each position.
Positions (direct):
Er1 0.2345 0.2345 0.2345  3 Rh 2.74
Er2 0.7655 0.7655 0.7655  3 Rh 2.74
Hg1 0.0000 0.0000 0.0000  6 Er 3.20
Rh1 0.5000 0.5000 0.5000  6 Er 2.74

Calculated values
space group	R-3m (166)
calculated density	10.476	Mg/m³
E above lowest polymorph	105.0	meV/atom
energy relative to the elements	-620	meV per atom
total magnetic moment	0.0	Bohr magnetons per cell

Record 2
A plane-wave DFT calculation with PBE-GGA was carried out for YMn2Pb after structural relaxation.

Cell: 3.2988 3.3233 7.6420 Å, 90.00 90.00 90.00°
Closest atoms and distances in Å follow each position.
Positions (direct):
Y1 0.0000 0.0000 0.0000  5 Mn 3.08-3.17, 4 Y 3.30-3.32, 4 Pb 3.45
Mn1 0.0000 0.0000 0.4145  4 Mn 2.61
Mn2 0.5000 0.5000 0.2625  4 Mn 2.61
Pb1 0.5000 0.5000 0.6679  5 Mn 3.04-3.10, 4 Pb 3.30-3.32

Calculated values
space group	Pmm2 (25)
calculated density	8.047	Mg/m³
energy relative to the elements	112	meV per atom
total magnetic moment	1.2	Bohr magnetons per cell

Record 3
A plane-wave DFT calculation with PBE-GGA was carried out for Pm3Pr4HoSe8 after structural relaxation.

Cell: 8.4564 8.4564 8.4564 Å, 59.61 59.61 59.61°
Closest atoms and distances in Å follow each position.
Positions (direct):
Pm1 0.0000 0.5000 0.5000  6 Se 2.96
Pm2 0.5000 0.0000 0.5000  6 Se 2.96
Pm3 0.5000 0.5000 0.0000  6 Se 2.96
Pr1 0.0000 0.0000 0.5000  6 Se 3.01
Pr2 0.0000 0.5000 0.0000  6 Se 3.01
Pr3 0.5000 0.0000 0.0000  6 Se 3.01
Pr4 0.5000 0.5000 0.5000  6 Se 3.07
Ho1 0.0000 0.0000 0.0000  6 Se 2.90
Se1 0.2429 0.2429 0.7529  1 Ho 2.90, 2 Pm 2.96, 3 Pr 3.01-3.07
Se2 0.2429 0.7529 0.2429  1 Ho 2.90, 2 Pm 2.96, 3 Pr 3.01-3.07
Se3 0.2471 0.7571 0.7571  1 Ho 2.90, 2 Pm 2.96, 3 Pr 3.01-3.07
Se4 0.2521 0.2521 0.2521  3 Pm 2.96, 3 Pr 3.01
Se5 0.7479 0.7479 0.7479  3 Pm 2.96, 3 Pr 3.01
Se6 0.7529 0.2429 0.2429  1 Ho 2.90, 2 Pm 2.96, 3 Pr 3.01-3.07
Se7 0.7571 0.2471 0.7571  1 Ho 2.90, 2 Pm 2.96, 3 Pr 3.01-3.07
Se8 0.7571 0.7571 0.2471  1 Ho 2.90, 2 Pm 2.96, 3 Pr 3.01-3.07

Calculated values
space group	R-3m (166)
E_form (uncorrected)	-1.82	eV/atom
calculated density	7.033	Mg/m³
total magnetic moment	0.0	Bohr magnetons per cell

Record 4
A plane-wave DFT calculation with PBE-GGA was carried out for Cd3HgPt after structural relaxation.

Cell: 5.2716 5.2716 5.2716 Å, 90.00 90.00 90.00°
Closest atoms and distances in Å follow each position.
Positions (direct):
Cd1 0.0000 0.0000 0.5000  2 Pt 2.64
Cd2 0.0000 0.5000 0.0000  2 Pt 2.64
Cd3 0.5000 0.0000 0.0000  2 Pt 2.64
Hg1 0.5000 0.5000 0.5000  12 Cd 3.73
Pt1 0.0000 0.0000 0.0000  6 Cd 2.64

Calculated values
space group	Pm-3m (221)
calculated density	8.308	Mg/m³
E above lowest polymorph	0.0	meV/atom
energy relative to the elements	-49	meV per atom
total magnetic moment	0.0	Bohr magnetons per cell

Record 5
A plane-wave DFT calculation with PBE-GGA was carried out for SrZnTeO5 after structural relaxation.

Cell: 5.8966 5.8966 7.5640 Å, 104.22 104.22 107.77°
Closest atoms and distances in Å follow each position.
Positions (direct):
Sr1 0.1683 0.8317 0.7500  7 O 2.54-2.69
Sr2 0.8317 0.1683 0.2500  7 O 2.54-2.69
Zn1 0.1933 0.8067 0.2500  4 O 1.96-1.99
Zn2 0.8067 0.1933 0.7500  4 O 1.96-1.99
Te1 0.5000 0.5000 0.0000  6 O 1.93-1.99
Te2 0.5000 0.5000 0.5000  6 O 1.93-1.99
O1 0.1550 0.2569 0.9151  1 Te 1.93, 1 Zn 1.99
O2 0.2155 0.5989 0.4152  1 Te 1.95, 1 Zn 1.96
O3 0.2569 0.1550 0.4151  1 Te 1.93, 1 Zn 1.99
O4 0.4011 0.7845 0.0848  1 Te 1.95, 1 Zn 1.96
O5 0.4347 0.5653 0.7500  2 Te 1.99
O6 0.5653 0.4347 0.2500  2 Te 1.99
O7 0.5989 0.2155 0.9152  1 Te 1.95, 1 Zn 1.96
O8 0.7431 0.8450 0.5849  1 Te 1.93, 1 Zn 1.99
O9 0.7845 0.4011 0.5848  1 Te 1.95, 1 Zn 1.96
O10 0.8450 0.7431 0.0849  1 Te 1.93, 1 Zn 1.99

Calculated values
space group	C2/c (15)
E_form (uncorrected)	-1.72	eV/atom
calculated density	5.261	Mg/m³
total magnetic moment	0.0	Bohr magnetons per cell

Record 6
A plane-wave DFT calculation with PBE-GGA was carried out for HfMg2ZrAu after structural relaxation.

Cell: 5.2352 5.2352 4.9639 Å, 90.00 90.00 90.00°
Closest atoms and distances in Å follow each position.
Positions (direct):
Hf1 0.0000 0.0000 0.0000  2 Au 2.48, 4 Mg 2.62
Mg1 0.0000 0.5000 0.0000  2 Hf 2.62
Mg2 0.5000 0.0000 0.0000  2 Hf 2.62
Zr1 0.5000 0.5000 0.5000  8 Mg 3.61, 4 Au 3.70
Au1 0.0000 0.0000 0.5000  2 Hf 2.48

Calculated values
space group	P4/mmm (123)
calculated density	6.289	Mg/m³
energy relative to the elements	1085	meV per atom
total magnetic moment	0.0	Bohr magnetons per cell

Record 7
A plane-wave DFT calculation with PBE-GGA was carried out for NaLiIO4 after structural relaxation.

Cell: 6.4545 6.4545 6.4545 Å, 121.62 120.68 88.02°
Closest atoms and distances in Å follow each position.
Positions (direct):
Na1 0.5000 0.0000 0.0000  6 O 2.39-2.46
Na2 0.5000 0.5000 0.5000  6 O 2.39-2.46
Li1 0.0000 0.0000 0.0000  4 O 2.07
Li2 0.5000 0.0000 0.5000  4 O 2.07
I1 0.1672 0.4172 0.7500  4 O 1.83-1.95
I2 0.8328 0.5828 0.2500  4 O 1.83-1.95
O1 0.1804 0.7037 0.4767  1 I 1.83
O2 0.2370 0.1946 0.4576  1 I 1.95, 2 Li 2.07
O3 0.2370 0.7794 0.0424  1 I 1.95, 2 Li 2.07
O4 0.2730 0.2963 0.9767  1 I 1.83
O5 0.7270 0.7037 0.0233  1 I 1.83
O6 0.7630 0.2206 0.9576  1 I 1.95, 2 Li 2.07
O7 0.7630 0.8054 0.5424  1 I 1.95, 2 Li 2.07
O8 0.8196 0.2963 0.5233  1 I 1.83

Calculated values
space group	Imma (74)
E_form (uncorrected)	-0.92	eV/atom
calculated density	3.928	Mg/m³
total magnetic moment	0.9	Bohr magnetons per cell

Record 8
A plane-wave DFT calculation with PBE-GGA was carried out for PmPrHoTm after structural relaxation.

Cell: 6.8813 6.8813 3.7852 Å, 105.44 105.44 50.60°
Closest atoms and distances in Å follow each position.
Positions (direct):
Pm1 0.0000 0.0000 0.0000  2 Tm 3.40-3.50, 4 Ho 3.48-3.54, 1 Pr 3.59, 2 Pm 3.79
Pr1 0.2681 0.2681 0.8258  4 Tm 3.45-3.55, 2 Ho 3.49-3.63, 2 Pm 3.59-3.84, 2 Pr 3.79
Ho1 0.5216 0.5216 0.5354  2 Tm 3.33-3.44, 4 Pm 3.48-3.54, 2 Pr 3.49-3.63
Tm1 0.7572 0.7572 0.2896  2 Ho 3.33-3.44, 2 Pm 3.40-3.50, 4 Pr 3.45-3.55

Calculated values
space group	Cm (8)
calculated density	7.775	Mg/m³
E above lowest polymorph	2.0	meV/atom
energy relative to the elements	106	meV per atom
total magnetic moment	0.0	Bohr magnetons per cell

Record 9
A plane-wave DFT calculation with PBE-GGA was carried out for CaInRu after structural relaxation.

Cell: 4.6658 4.6658 4.6658 Å, 60.00 60.00 60.00°
Closest atoms and distances in Å follow each position.
Positions (direct):
Ca1 0.0000 0.0000 0.0000  4 Ru 2.86
In1 0.5000 0.5000 0.5000  4 Ru 2.86
Ru1 0.7500 0.7500 0.7500  4 Ca 2.86, 4 In 2.86

Calculated values
space group	F-43m (216)
calculated density	5.918	Mg/m³
energy relative to the elements	154	meV per atom
total magnetic moment	0.0	Bohr magnetons per cell

Record 10
A plane-wave DFT calculation with PBE-GGA was carried out for Rb3LaTh3Te8 after structural relaxation.

Cell: 10.2443 10.2443 10.2443 Å, 52.53 52.53 52.53°
Closest atoms and distances in Å follow each position.
Positions (direct):
Rb1 0.0000 0.5000 0.5000  6 Te 3.66-3.70
Rb2 0.5000 0.0000 0.5000  6 Te 3.66-3.70
Rb3 0.5000 0.5000 0.0000  6 Te 3.66-3.70
La1 0.5000 0.5000 0.5000  6 Te 3.26
Th1 0.0000 0.0000 0.5000  6 Te 3.16-3.20
Th2 0.0000 0.5000 0.0000  6 Te 3.16-3.20
Th3 0.5000 0.0000 0.0000  6 Te 3.16-3.20
Te1 0.2262 0.7409 0.7409  2 Th 3.16, 1 La 3.26
Te2 0.2363 0.2363 0.2363  3 Th 3.20
Te3 0.2591 0.2591 0.7738  2 Th 3.16, 1 La 3.26
Te4 0.2591 0.7738 0.2591  2 Th 3.16, 1 La 3.26
Te5 0.7409 0.2262 0.7409  2 Th 3.16, 1 La 3.26
Te6 0.7409 0.7409 0.2262  2 Th 3.16, 1 La 3.26
Te7 0.7637 0.7637 0.7637  3 Th 3.20
Te8 0.7738 0.2591 0.2591  2 Th 3.16, 1 La 3.26

Calculated values
space group	R-3m (166)
E_form (uncorrected)	-1.26	eV/atom
calculated density	5.595	Mg/m³
total magnetic moment	0.0	Bohr magnetons per cell